# 1
Entry from OQMD: a relaxed NaTc crystal (PBE).

The calculation puts the total magnetic moment at 0.00 μB/f.u. The excess energy over the best structure of this formula in the dataset is 0 meV/atom. Its crystal system is hexagonal. As for the volume: 34 Å³/cell.

It has space group P-6m2 (No. 187), with a = 2.7020 Å, b = 2.7020 Å, c = 5.3919 Å, α = 90.00°, β = 90.00° and γ = 120.00°. The inequivalent atoms are Na at (0.0000, 0.0000, 0.0000) and Tc at (0.6667, 0.3333, 0.5000).

***

# 2
Entry from OQMD: a relaxed NaTc crystal (PBE).

The calculation puts the total magnetic moment at 4.00 μB/f.u. The excess energy over the best structure of this formula in the dataset is 2013 meV/atom. Its crystal system is cubic. As for the volume: 285 Å³/cell.

It has space group F-43m (No. 216), with a = 6.580 Å, b = 6.580 Å, c = 6.580 Å, α = 90.00°, β = 90.00° and γ = 90.00°. The inequivalent atoms are Na at (0.000, 0.000, 0.000) and Tc at (0.250, 0.250, 0.750).

***

# 3
Entry from OQMD: a relaxed NaTc crystal (PBE).

The calculation puts the total magnetic moment at 3.16 μB/f.u. The excess energy over the best structure of this formula in the dataset is 1464 meV/atom. Its crystal system is cubic. As for the volume: 181 Å³/cell.

It has space group Fm-3m (No. 225), with a = 5.659 Å, b = 5.659 Å, c = 5.659 Å, α = 90.00°, β = 90.00° and γ = 90.00°. The inequivalent atoms are Na at (0.000, 0.000, 0.000) and Tc at (0.000, 0.000, 0.500).

***

# 4
Entry from OQMD: a relaxed Na2TlTc crystal (PBE).

The calculation puts the total magnetic moment at 2.37 μB/f.u. Its crystal system is cubic. As for the volume: 341 Å³/cell. Its electronic total energy is -50.52 eV per cell.

It has space group F-43m (No. 216), with a = 6.985 Å, b = 6.985 Å, c = 6.985 Å, α = 90.00°, β = 90.00° and γ = 90.00°. The inequivalent atoms are Na at (0.000, 0.000, 0.000), Na at (0.250, 0.250, 0.250), Tl at (0.000, 0.000, 0.500) and Tc at (0.250, 0.250, 0.750).

***

# 5
Entry from OQMD: a relaxed NaTlTc2 crystal (PBE).

The calculation puts the total magnetic moment at 0.01 μB/f.u. Its crystal system is cubic. As for the volume: 274 Å³/cell. Its electronic total energy is -86.40 eV per cell.

It has space group F-43m (No. 216), with a = 6.494 Å, b = 6.494 Å, c = 6.494 Å, α = 90.00°, β = 90.00° and γ = 90.00°. The inequivalent atoms are Na at (0.000, 0.000, 0.000), Tl at (0.250, 0.250, 0.750), Tc at (0.000, 0.000, 0.500) and Tc at (0.250, 0.250, 0.250).

***

# 6
Entry from OQMD: a relaxed NaTcW crystal (PBE).

The calculation puts the total magnetic moment at 0.00 μB/f.u. The excess energy over the best structure of this formula in the dataset is 0 meV/atom. Its crystal system is cubic. As for the volume: 227 Å³/cell.

It has space group F-43m (No. 216), with a = 6.104 Å, b = 6.104 Å, c = 6.104 Å, α = 90.00°, β = 90.00° and γ = 90.00°. The inequivalent atoms are Na at (0.000, 0.000, 0.000), Tc at (0.250, 0.250, 0.250) and W at (0.000, 0.000, 0.500).

***

Copy entry 4 word for word.
Entry from OQMD: a relaxed Na2TlTc crystal (PBE).

The calculation puts the total magnetic moment at 2.37 μB/f.u. Its crystal system is cubic. As for the volume: 341 Å³/cell. Its electronic total energy is -50.52 eV per cell.

It has space group F-43m (No. 216), with a = 6.985 Å, b = 6.985 Å, c = 6.985 Å, α = 90.00°, β = 90.00° and γ = 90.00°. The inequivalent atoms are Na at (0.000, 0.000, 0.000), Na at (0.250, 0.250, 0.250), Tl at (0.000, 0.000, 0.500) and Tc at (0.250, 0.250, 0.750).

***

> Look up the total magnetic moment of the third one.

3.16 μB/f.u.

***

> Which formula does entry 5 have?

NaTlTc2

***

> What is the formula in the sixth record?

NaTcW